Record 1
FeAg2W | PBE | optimized geometry

## Properties
As for the offset from the most stable computed form: 0.7577 eV/atom. Its space-group type is Fm-3m. Its total magnetization is 0.0 μB/cell. The calculation puts the formation energy at 4.415 eV/f.u.

Cell and atoms, written as POSCAR:
```
FeAg2W
1.0
0.0000 3.1373 3.1373
3.1373 0.0000 3.1373
3.1373 3.1373 0.0000
Fe Ag W
1 2 1
direct
0.0000 0.0000 0.0000 Fe
0.2500 0.2500 0.2500 Ag
0.7500 0.7500 0.7500 Ag
0.5000 0.5000 0.5000 W
```

---

Record 2
FeAg2W | PBE | optimized geometry

## Properties
As for the offset from the most stable computed form: 0.0506 eV/atom. Its space-group type is Pmm2. Its total magnetization is 0.6 μB/cell. The calculation puts the formation energy at 1.587 eV/f.u.

Cell and atoms, written as POSCAR:
```
FeAg2W
1.0
2.8885 0.0000 0.0000
0.0000 2.9225 0.0000
0.0000 0.0000 7.5370
Fe Ag W
1 2 1
direct
0.0000 0.0000 0.0000 Fe
0.0000 0.0000 0.5345 Ag
0.5000 0.5000 0.2566 Ag
0.5000 0.5000 0.8255 W
```

---

Record 3
FeAgW2 | PBE | optimized geometry

## Properties
As for the offset from the most stable computed form: 0.2546 eV/atom. Its space-group type is I4/mmm. Its total magnetization is 1.6 μB/cell. The calculation puts the formation energy at 2.282 eV/f.u.

Cell and atoms, written as POSCAR:
```
FeAgW2
1.0
-1.9160 1.9160 4.1279
1.9160 -1.9160 4.1279
1.9160 1.9160 -4.1279
Fe Ag W
1 1 2
direct
0.0000 0.0000 0.0000 Fe
0.5000 0.5000 0.0000 Ag
0.2500 0.7500 0.5000 W
0.7500 0.2500 0.5000 W
```

---

Record 4
FeAgW2 | PBE | optimized geometry

## Properties
As for the offset from the most stable computed form: 0.2891 eV/atom. Its space-group type is Imm2. Its total magnetization is 2.3 μB/cell. The calculation puts the formation energy at 2.420 eV/f.u.

Cell and atoms, written as POSCAR:
```
FeAgW2
1.0
-1.6091 2.2543 4.2640
1.6091 -2.2543 4.2640
1.6091 2.2543 -4.2640
Fe Ag W
1 1 2
direct
0.0000 0.0000 0.0000 Fe
0.7496 0.2496 0.5000 Ag
0.2279 0.7279 0.5000 W
0.4739 0.4739 0.0000 W
```

---

Record 5
FeAgW2 | PBE | optimized geometry

## Properties
As for the offset from the most stable computed form: 0.1656 eV/atom. Its space-group type is P4mm. Its total magnetization is 2.4 μB/cell. The calculation puts the formation energy at 1.926 eV/f.u.

Cell and atoms, written as POSCAR:
```
FeAgW2
1.0
3.2229 0.0000 0.0000
0.0000 3.2229 0.0000
0.0000 0.0000 5.9891
Fe Ag W
1 1 2
direct
0.0000 0.0000 0.0000 Fe
0.5000 0.5000 0.7531 Ag
0.0000 0.0000 0.4642 W
0.5000 0.5000 0.2283 W
```

---

Record 6
FeAgW2 | PBE | optimized geometry

## Properties
As for the offset from the most stable computed form: 0.1824 eV/atom. Its space-group type is Pmmm. Its total magnetization is 0.1 μB/cell. The calculation puts the formation energy at 1.993 eV/f.u.

Cell and atoms, written as POSCAR:
```
FeAgW2
1.0
2.7590 0.0000 0.0000
0.0000 3.8413 0.0000
0.0000 0.0000 5.6696
Fe Ag W
1 1 2
direct
0.0000 0.0000 0.0000 Fe
0.0000 0.0000 0.5000 Ag
0.5000 0.5000 0.2206 W
0.5000 0.5000 0.7794 W
```

---

Record 7
Fe3AgW | PBE | optimized geometry

## Properties
As for the offset from the most stable computed form: 0.0000 eV/atom. Its space-group type is Pm-3m. Its total magnetization is 4.6 μB/cell. The calculation puts the formation energy at 7.441 eV/f.u.

Cell and atoms, written as POSCAR:
```
Fe3AgW
1.0
4.4909 0.0000 0.0000
0.0000 4.4909 0.0000
0.0000 0.0000 4.4909
Fe Ag W
3 1 1
direct
0.0000 0.0000 0.5000 Fe
0.0000 0.5000 0.0000 Fe
0.5000 0.0000 0.0000 Fe
0.5000 0.5000 0.5000 Ag
0.0000 0.0000 0.0000 W
```

---

Record 8
FeAgW2 | PBE | optimized geometry

## Properties
As for the offset from the most stable computed form: 0.1886 eV/atom. Its space-group type is Pmm2. Its total magnetization is 2.1 μB/cell. The calculation puts the formation energy at 2.018 eV/f.u.

Cell and atoms, written as POSCAR:
```
FeAgW2
1.0
2.6541 0.0000 0.0000
0.0000 4.1283 0.0000
0.0000 0.0000 5.6603
Fe Ag W
1 1 2
direct
0.0000 0.0000 0.0000 Fe
0.5000 0.5000 0.7553 Ag
0.0000 0.0000 0.4872 W
0.5000 0.5000 0.2382 W
```

---

Question: Which of these has the lowest offset from the most stable computed form?
Answer: Fe3AgW

---

Question: Which of these has the lowest offset from the most stable computed form?
Answer: Fe3AgW

---

Question: What is the offset from the most stable computed form in the seventh record?
Answer: 0.0000 eV/atom